## BeReSb2 (GGA-PBE)

Data for an optimized crystal structure of BeReSb2.

a b c (Å): 3.299 3.265 7.129
angles (deg): 74.15 90.00 90.00
Fractional positions:
Re (0.500, 0.750, 0.750)
Sb (0.000, 0.104, 0.991)
Sb (0.000, 0.396, 0.509)
Be (0.500, 0.250, 0.250)

Output
The calculation puts the total energy at -21.98 eV per cell. The calculation puts the uncorrected formation energy at 0.6091 eV/atom. Its theoretical density is 9.86 g/cm3. The calculated volume comes out at 18.47 Å³ per atom.

## BeRe2SbW (GGA-PBE)

Data for an optimized crystal structure of BeRe2SbW.

a b c (Å): 4.808 4.341 4.808
angles (deg): 90.00 90.00 90.00
Last column: magnetic moment on the atom in μB.
Fractional positions:
W (0.000, 0.000, 0.000)  -0.03
Re (0.000, 0.000, 0.500)  0.15
Re (0.500, 0.000, 0.000)  0.15
Sb (0.500, 0.500, 0.500)  -0.01
Be (0.000, 0.500, 0.000)  0.00

Output
The calculation puts the total energy at -36.89 eV per cell. The calculation puts the uncorrected formation energy at 1.7614 eV/atom. Its theoretical density is 11.37 g/cm3. The calculated volume comes out at 20.07 Å³ per atom.

## ZrBe2ReSb (GGA-PBE)

Data for an optimized crystal structure of ZrBe2ReSb.

a b c (Å): 4.534 5.296 4.534
angles (deg): 90.00 90.00 90.00
Last column: magnetic moment on the atom in μB.
Fractional positions:
Zr (0.000, 0.000, 0.000)  -0.08
Be (0.500, 0.000, 0.000)  -0.04
Be (0.000, 0.000, 0.500)  -0.02
Re (0.500, 0.500, 0.500)  2.77
Sb (0.000, 0.500, 0.000)  -0.01

Output
The calculation puts the total energy at -22.66 eV per cell. The calculation puts the uncorrected formation energy at 1.9814 eV/atom. Its theoretical density is 6.36 g/cm3. The calculated volume comes out at 21.78 Å³ per atom.